[1]
The following is a PBE calculation of an optimized crystal structure of Cs2NbSn, from the Alexandria database.

Results
calculated volume = 43.99 Å³ per atom
final energy = -43.7 eV per cell

Lattice parameters (Å, degrees): 8.8951 8.8951 8.8951 90.00 90.00 90.00
Closest atoms and distances in Å follow each position.
Space group Fm-3m (No. 225)
Inequivalent atoms, fractional coordinates:
1 Cs 0.2500 0.2500 0.2500 x8  4 Nb 3.85, 4 Sn 3.85
2 Nb 0.0000 0.0000 0.0000 x4  8 Cs 3.85
3 Sn 0.0000 0.0000 0.5000 x4  8 Cs 3.85


[2]
The following is a PBE calculation of an optimized crystal structure of RbTb2Cl2F5, from the Alexandria database.

Results
calculated volume = 17.17 Å³ per atom
ΔE_f (raw) = -3276 meV/atom
final energy = -112.1 eV per cell

Lattice parameters (Å, degrees): 9.9143 9.9143 3.4927 90.00 90.00 90.00
Closest atoms and distances in Å follow each position.
Space group P4/mbm (No. 127)
Inequivalent atoms, fractional coordinates:
1 Rb 0.0000 0.0000 0.0000 x2  8 F 3.00
2 Tb 0.1285 0.3715 0.0000 x4  6 F 2.27-2.51
3 Cl 0.1657 0.6657 0.0000 x4  3 Tb 2.89-2.94, 10 F 2.91-3.15
4 F 0.0000 0.5000 0.5000 x2  4 Tb 2.51, 4 F 2.76
5 F 0.0787 0.2332 0.5000 x8  2 Tb 2.27


[3]
The following is a PBE calculation of an optimized crystal structure of ZnCr2Tc, from the Alexandria database.

Results
calculated volume = 13.39 Å³ per atom
final energy = -89.8 eV per cell

Lattice parameters (Å, degrees): 2.7383 2.7383 24.7516 90.00 90.00 120.00
Closest atoms and distances in Å follow each position.
Space group R3m (No. 160, hexagonal axes)
Inequivalent atoms, fractional coordinates:
1 Zn 0.0000 0.0000 0.0000 x3  3 Cr 2.72, 6 Zn 2.74, 3 Tc 2.77
2 Cr 0.0000 0.0000 0.2440 x3  3 Cr 2.30
3 Cr 0.0000 0.0000 0.5097 x3  3 Cr 2.30
4 Tc 0.0000 0.0000 0.7585 x3  3 Cr 2.62, 6 Tc 2.74, 3 Zn 2.77


[4]
The following is a PBE calculation of an optimized crystal structure of ZrScP2, from the Alexandria database.

Results
calculated volume = 18.60 Å³ per atom
E above lowest polymorph = 0.1 kJ/mol of atoms
final energy = -31.4 eV per cell

Lattice parameters (Å, degrees): 3.7451 3.7451 5.3045 90.00 90.00 90.00
Closest atoms and distances in Å follow each position.
Space group P4/mmm (No. 123)
Inequivalent atoms, fractional coordinates:
1 Zr 0.0000 0.0000 0.0000 x1  6 P 2.65
2 Sc 0.5000 0.5000 0.5000 x1  6 P 2.65
3 P 0.0000 0.0000 0.5000 x1  4 Sc 2.65, 2 Zr 2.65
4 P 0.5000 0.5000 0.0000 x1  4 Zr 2.65, 2 Sc 2.65


[5]
The following is a PBE calculation of an optimized crystal structure of CaMgCd, from the Alexandria database.

Results
calculated volume = 29.04 Å³ per atom
final energy = -4.7 eV per cell

Lattice parameters (Å, degrees): 3.6852 3.6852 7.4080 90.00 90.00 120.00
Closest atoms and distances in Å follow each position.
Space group P3m1 (No. 156)
Inequivalent atoms, fractional coordinates:
1 Ca 0.0000 0.0000 0.0000 x1  3 Cd 3.28, 3 Mg 3.48
2 Mg 0.3333 0.6667 0.6283 x1  3 Cd 3.03
3 Cd 0.6667 0.3333 0.3365 x1  3 Mg 3.03, 3 Ca 3.28


[6]
The following is a PBE calculation of an optimized crystal structure of TaReTeN2, from the Alexandria database.

Results
calculated volume = 18.99 Å³ per atom
ΔE_f (raw) = 1052 meV/atom
final energy = -38.8 eV per cell

Lattice parameters (Å, degrees): 4.0151 4.0151 5.8914 90.00 90.00 90.00
Closest atoms and distances in Å follow each position.
Space group P4/mmm (No. 123)
Inequivalent atoms, fractional coordinates:
1 Ta 0.0000 0.0000 0.0000 x1  4 N 2.01
2 Re 0.5000 0.5000 0.5000 x1  4 Te 2.84
3 Te 0.0000 0.0000 0.5000 x1  4 Re 2.84, 2 Ta 2.95
4 N 0.0000 0.5000 0.0000 x2  2 Ta 2.01


[7]
The following is a PBE calculation of an optimized crystal structure of Nb8Sn3, from the Alexandria database.

Results
calculated volume = 19.37 Å³ per atom
final energy = -181.0 eV per cell

Lattice parameters (Å, degrees): 2.8801 4.8198 30.7014 90.00 90.00 90.00
Closest atoms and distances in Å follow each position.
Space group Immm (No. 71)
Inequivalent atoms, fractional coordinates:
1 Nb 0.0000 0.0000 0.0452 x4  5 Nb 2.77-2.88
2 Nb 0.0000 0.0000 0.2271 x4  4 Nb 2.79-2.88, 2 Sn 3.11
3 Nb 0.0000 0.5000 0.0901 x4  5 Nb 2.78-2.88
4 Nb 0.0000 0.5000 0.1814 x4  5 Nb 2.79-2.88, 4 Sn 3.12
5 Sn 0.0000 0.0000 0.5000 x2  2 Sn 2.88, 12 Nb 3.12-3.13
6 Sn 0.0000 0.5000 0.3627 x4  2 Sn 2.88, 12 Nb 3.11-3.17


[8]
The following is a PBE calculation of an optimized crystal structure of HoErTc, from the Alexandria database.

Results
calculated volume = 26.17 Å³ per atom
E above lowest polymorph = 8.1 kJ/mol of atoms
final energy = -77.9 eV per cell

Lattice parameters (Å, degrees): 4.3681 18.1101 3.9697 90.00 90.00 90.00
Closest atoms and distances in Å follow each position.
Space group Cmcm (No. 63)
Inequivalent atoms, fractional coordinates:
1 Ho 0.0000 0.1973 0.2500 x4  1 Tc 2.91
2 Er 0.0000 0.4163 0.2500 x4  6 Tc 3.07-3.08
3 Tc 0.0000 0.0364 0.2500 x4  2 Tc 2.38


[9]
The following is a PBE calculation of an optimized crystal structure of AcHN, from the Alexandria database.

Results
calculated volume = 18.19 Å³ per atom
E above lowest polymorph = 24.5 kJ/mol of atoms
final energy = -68.2 eV per cell

Lattice parameters (Å, degrees): 8.3784 4.3108 6.0435 90.00 90.00 90.00
Closest atoms and distances in Å follow each position.
Space group Pnma (No. 62)
Inequivalent atoms, fractional coordinates:
1 Ac 0.1266 0.2500 0.2271 x4  4 N 2.51-2.62, 4 H 2.60-2.67
2 H 0.1063 0.7500 0.4875 x4  4 Ac 2.60-2.67, 2 H 2.80
3 N 0.1368 0.7500 0.9819 x4  4 Ac 2.51-2.62


[10]
The following is a PBE calculation of an optimized crystal structure of ReBiBRh, from the Alexandria database.

Results
calculated volume = 16.69 Å³ per atom
E above lowest polymorph = 5.6 kJ/mol of atoms
final energy = -59.0 eV per cell

Lattice parameters (Å, degrees): 5.7611 3.2814 7.3571 90.00 106.25 90.00
Closest atoms and distances in Å follow each position.
Space group Cm (No. 8)
Inequivalent atoms, fractional coordinates:
1 Re 0.0000 0.0000 0.0000 x2  3 B 2.22-2.23
2 Bi 0.0590 0.5000 0.6856 x2  1 Rh 2.78, 3 Re 2.92-2.93
3 B 0.2287 0.5000 0.1634 x2  3 Rh 2.11-2.12, 3 Re 2.22-2.23
4 Rh 0.4446 0.0000 0.2931 x2  3 B 2.11-2.12


[11]
The following is a PBE calculation of an optimized crystal structure of Pm2Nd5Dy, from the Alexandria database.

Results
calculated volume = 34.55 Å³ per atom
E above lowest polymorph = 0.0 kJ/mol of atoms
final energy = -75.7 eV per cell

Lattice parameters (Å, degrees): 7.3103 14.6398 5.1650 90.00 90.00 90.00
Closest atoms and distances in Å follow each position.
Space group Pbam (No. 55)
Inequivalent atoms, fractional coordinates:
1 Pm 0.2504 0.1242 0.0000 x4  10 Nd 3.63-3.69, 2 Dy 3.65
2 Nd 0.0000 0.0000 0.5000 x2  6 Nd 3.65-3.68, 4 Pm 3.65, 2 Dy 3.66
3 Nd 0.0000 0.2513 0.5000 x4  1 Dy 3.64, 4 Pm 3.65-3.67, 7 Nd 3.65-3.68
4 Nd 0.2495 0.3760 0.0000 x4  4 Pm 3.63-3.69, 2 Dy 3.65, 6 Nd 3.65-3.67
5 Dy 0.0000 0.5000 0.5000 x2  8 Nd 3.64-3.66, 4 Pm 3.65


[12]
The following is a PBE calculation of an optimized crystal structure of KIrOs, from the Alexandria database.

Results
calculated volume = 19.85 Å³ per atom
E above lowest polymorph = 33.1 kJ/mol of atoms
final energy = -37.5 eV per cell

Lattice parameters (Å, degrees): 2.8385 2.8385 14.7853 90.00 90.00 90.00
Closest atoms and distances in Å follow each position.
Space group I4mm (No. 107)
Inequivalent atoms, fractional coordinates:
1 K 0.0000 0.0000 0.0000 x2  4 K 2.84
2 Ir 0.0000 0.0000 0.6903 x2  4 Os 2.58, 4 Ir 2.84
3 Os 0.0000 0.0000 0.3003 x2  4 Ir 2.58, 4 Os 2.84


[13]
The following is a PBE calculation of an optimized crystal structure of Tl3WCl8, from the Alexandria database.

Results
calculated volume = 30.63 Å³ per atom
ΔE_f (raw) = -915 meV/atom
final energy = -91.6 eV per cell

Lattice parameters (Å, degrees): 9.4065 9.4065 9.5950 90.00 90.00 120.00
Closest atoms and distances in Å follow each position.
Space group P6_3mc (No. 186)
Inequivalent atoms, fractional coordinates:
1 Tl 0.1513 0.3027 0.0000 x6  2 Cl 2.97-3.29
2 W 0.3333 0.6667 0.4874 x2  6 Cl 2.33-2.36
3 Cl 0.0000 0.0000 0.2734 x2  6 Tl 3.29-3.60
4 Cl 0.0971 0.5486 0.3504 x6  1 W 2.33
5 Cl 0.2153 0.4306 0.6305 x6  1 W 2.36
6 Cl 0.3333 0.6667 0.0050 x2  3 Tl 2.97


[14]
The following is a PBE calculation of an optimized crystal structure of HAuN, from the Alexandria database.

Results
calculated volume = 11.56 Å³ per atom
E above lowest polymorph = 0.8 kJ/mol of atoms
final energy = -13.2 eV per cell

Lattice parameters (Å, degrees): 3.2062 3.2067 3.3867 89.78 89.99 84.77
Closest atoms and distances in Å follow each position.
Space group P1 (No. 1)
Inequivalent atoms, fractional coordinates:
1 H 0.0000 0.0000 0.0000 x1  1 N 1.03
2 Au 0.5000 0.4983 0.3692 x1  4 N 2.17-2.38
3 N 0.0000 0.9986 0.3056 x1  1 H 1.03


[15]
The following is a PBE calculation of an optimized crystal structure of SrBePt2Au, from the Alexandria database.

Results
calculated volume = 28.30 Å³ per atom
E above lowest polymorph = 138.5 kJ/mol of atoms
final energy = -16.2 eV per cell

Lattice parameters (Å, degrees): 5.0854 5.0854 5.4717 90.00 90.00 90.00
Closest atoms and distances in Å follow each position.
Space group P4/mmm (No. 123)
Inequivalent atoms, fractional coordinates:
1 Sr 0.0000 0.0000 0.0000 x1  2 Au 2.74
2 Be 0.5000 0.5000 0.0000 x1  4 Sr 3.60, 8 Pt 3.73
3 Pt 0.0000 0.5000 0.5000 x2  2 Au 2.54
4 Au 0.0000 0.0000 0.5000 x1  4 Pt 2.54, 2 Sr 2.74


[16]
The following is a PBE calculation of an optimized crystal structure of CsAg2As2, from the Alexandria database.

Results
calculated volume = 25.20 Å³ per atom
E above lowest polymorph = 25.5 kJ/mol of atoms
final energy = -30.1 eV per cell

Lattice parameters (Å, degrees): 8.9209 8.9209 3.1668 90.00 90.00 90.00
Closest atoms and distances in Å follow each position.
Space group P4/mbm (No. 127)
Inequivalent atoms, fractional coordinates:
1 Cs 0.0000 0.0000 0.0000 x2  2 Cs 3.17, 4 As 3.45
2 Ag 0.1280 0.3720 0.5000 x4  4 As 2.86, 2 Ag 3.17
3 As 0.1386 0.6386 0.0000 x4  4 Ag 2.86, 2 As 3.17


[17]
The following is a PBE calculation of an optimized crystal structure of Mn2RhSe, from the Alexandria database.

Results
calculated volume = 15.58 Å³ per atom
ΔE_f (raw) = 58 meV/atom
final energy = -57.9 eV per cell

Lattice parameters (Å, degrees): 3.2873 4.1038 9.2367 90.00 90.00 90.00
Closest atoms and distances in Å follow each position.
Space group Imm2 (No. 44)
Inequivalent atoms, fractional coordinates:
1 Mn 0.0000 0.0000 0.0000 x2  4 Se 2.66, 2 Rh 2.75, 2 Mn 2.91
2 Mn 0.0000 0.5000 0.2239 x2  4 Rh 2.63, 2 Mn 2.91
3 Rh 0.0000 0.5000 0.7391 x2  2 Se 2.60, 6 Mn 2.63-2.75
4 Se 0.0000 0.0000 0.4570 x2  2 Rh 2.60, 4 Mn 2.66


[18]
The following is a PBE calculation of an optimized crystal structure of PHPbO2, from the Alexandria database.

Results
calculated volume = 20.42 Å³ per atom
E above lowest polymorph = 59.9 kJ/mol of atoms
final energy = -18.0 eV per cell

Lattice parameters (Å, degrees): 4.1825 4.1825 5.8369 90.00 90.00 90.00
Closest atoms and distances in Å follow each position.
Space group P4/mmm (No. 123)
Inequivalent atoms, fractional coordinates:
1 P 0.0000 0.0000 0.0000 x1  2 Pb 2.92, 4 H 2.96
2 H 0.5000 0.5000 0.0000 x1  4 P 2.96
3 Pb 0.0000 0.0000 0.5000 x1  4 O 2.09
4 O 0.0000 0.5000 0.5000 x2  2 Pb 2.09


[19]
The following is a PBE calculation of an optimized crystal structure of CrPtN2, from the Alexandria database.

Results
calculated volume = 11.72 Å³ per atom
ΔE_f (raw) = 158 meV/atom
E above lowest polymorph = 19.7 kJ/mol of atoms
final energy = -126.7 eV per cell

Lattice parameters (Å, degrees): 4.6008 4.6008 8.8596 90.00 90.00 90.00
Closest atoms and distances in Å follow each position.
Space group I-42d (No. 122)
Inequivalent atoms, fractional coordinates:
1 Cr 0.0000 0.0000 0.0000 x4  4 N 1.82
2 Pt 0.0000 0.0000 0.5000 x4  4 N 2.14
3 N 0.1908 0.2500 0.1250 x8  2 Cr 1.82


[20]
The following is a PBE calculation of an optimized crystal structure of Na4Cd3Pb, from the Alexandria database.

Results
calculated volume = 26.82 Å³ per atom
final energy = -24.4 eV per cell

Lattice parameters (Å, degrees): 6.7131 9.5531 6.6901 90.00 90.00 90.00
Closest atoms and distances in Å follow each position.
Space group Pmn2_1 (No. 31)
Inequivalent atoms, fractional coordinates:
1 Na 0.0000 0.0001 0.0000 x2  8 Cd 3.31-3.36, 4 Na 3.37
2 Na 0.0000 0.5003 0.0019 x2  4 Pb 3.34-3.36, 4 Na 3.35-3.36, 4 Cd 3.41-3.43
3 Na 0.2505 0.2511 0.2495 x4  4 Cd 3.34-3.38, 6 Na 3.35-3.37, 2 Pb 3.35-3.36
4 Cd 0.0000 0.9999 0.5000 x2  4 Cd 3.31, 8 Na 3.34-3.38
5 Cd 0.2493 0.7580 0.2505 x4  4 Cd 3.31-3.37, 6 Na 3.31-3.43, 2 Pb 3.40-3.44
6 Pb 0.0000 0.4975 0.5027 x2  8 Na 3.34-3.36, 4 Cd 3.40-3.44